(1)
Density functional theory data (PBE-GGA) for a relaxed structure of CsNiAsPb.

Unit cell a=4.325 b=4.325 c=13.816 alpha=90.00 beta=90.00 gamma=90.00
Fractional coordinates of all 8 atoms:
Cs: 0.250 0.250 0.230
Cs: 0.750 0.750 0.770
Ni: 0.250 0.750 0.000
Ni: 0.750 0.250 0.000
As: 0.250 0.250 0.928
As: 0.750 0.750 0.072
Pb: 0.250 0.750 0.500
Pb: 0.750 0.250 0.500

* SG: P4/nmm

(2)
Density functional theory data (PBE-GGA) for a relaxed structure of CsNiAsRu2.

Unit cell a=4.695 b=4.695 c=5.252 alpha=90.00 beta=90.00 gamma=90.00
Fractional coordinates of all 5 atoms:
Cs: 0.000 0.000 0.000
Ni: 0.000 0.000 0.500
As: 0.500 0.500 0.000
Ru: 0.000 0.500 0.500
Ru: 0.500 0.000 0.500

* SG: P4/mmm

| no. | E (eV per atom) |
| --- | --- |
| 1 | -3.96 |
| 2 | -4.30 |